No. 1
# Cu9Sb2 | the Open Quantum Materials Database | PBE | relaxed
data_Cu9Sb2
_symmetry_space_group_name_H-M 'P -3 m 1'
_symmetry_Int_Tables_number 164
_symmetry_space_group_name_Hall '-P 3 2"'
_cell_length_a 2.8265
_cell_length_b 2.8265
_cell_length_c 31.2522
_cell_angle_alpha 90.00
_cell_angle_beta 90.00
_cell_angle_gamma 120.00
loop_
_atom_site_label
_atom_site_type_symbol
_atom_site_fract_x
_atom_site_fract_y
_atom_site_fract_z
Cu1 Cu 0.0000 0.0000 0.0000
Cu2 Cu 0.0000 0.0000 0.1830
Cu3 Cu 0.3333 0.6667 0.1218
Cu4 Cu 0.3333 0.6667 0.7553
Cu5 Cu 0.3333 0.6667 0.9392
Sb1 Sb 0.3333 0.6667 0.3183
# Crystal system: trigonal
# Total DFT energy (no corrections) in eV/atom: -3.48

No. 2
# Zn2B | the Open Quantum Materials Database | PBE | relaxed
data_Zn2B
_symmetry_space_group_name_H-M 'P -1'
_symmetry_Int_Tables_number 2
_symmetry_space_group_name_Hall '-P 1'
_cell_length_a 4.177
_cell_length_b 7.665
_cell_length_c 10.662
_cell_angle_alpha 69.60
_cell_angle_beta 82.71
_cell_angle_gamma 77.03
loop_
_atom_site_label
_atom_site_type_symbol
_atom_site_fract_x
_atom_site_fract_y
_atom_site_fract_z
Zn1 Zn 0.132 0.383 0.133
Zn2 Zn 0.141 0.675 0.628
Zn3 Zn 0.199 0.051 0.688
Zn4 Zn 0.210 0.248 0.902
Zn5 Zn 0.264 0.999 0.432
Zn6 Zn 0.284 0.780 0.926
Zn7 Zn 0.303 0.980 0.159
Zn8 Zn 0.336 0.361 0.535
B1 B 0.057 0.658 0.309
B2 B 0.309 0.665 0.169
B3 B 0.343 0.461 0.314
B4 B 0.412 0.547 0.826
# Crystal system: triclinic
# Total DFT energy (no corrections) in eV/atom: -2.77

No. 3
# Hf3ZrSi2 | the Open Quantum Materials Database | PBE | relaxed
data_Hf3ZrSi2
_symmetry_space_group_name_H-M 'F m m 2'
_symmetry_Int_Tables_number 42
_symmetry_space_group_name_Hall 'F 2 -2'
_cell_length_a 5.214
_cell_length_b 9.340
_cell_length_c 9.297
_cell_angle_alpha 90.00
_cell_angle_beta 90.00
_cell_angle_gamma 90.00
loop_
_atom_site_label
_atom_site_type_symbol
_atom_site_fract_x
_atom_site_fract_y
_atom_site_fract_z
Hf1 Hf 0.000 0.000 0.000
Hf2 Hf 0.000 0.158 0.657
Zr1 Zr 0.000 0.000 0.314
Si1 Si 0.250 0.250 0.407
# Crystal system: orthorhombic
# Total DFT energy (no corrections) in eV/atom: -8.96

No. 4
# HfBeAg2 | the Open Quantum Materials Database | PBE | relaxed
data_HfBeAg2
_symmetry_space_group_name_H-M 'F -4 3 m'
_symmetry_Int_Tables_number 216
_symmetry_space_group_name_Hall 'F -4 2 3'
_cell_length_a 6.377
_cell_length_b 6.377
_cell_length_c 6.377
_cell_angle_alpha 90.00
_cell_angle_beta 90.00
_cell_angle_gamma 90.00
loop_
_atom_site_label
_atom_site_type_symbol
_atom_site_fract_x
_atom_site_fract_y
_atom_site_fract_z
Hf1 Hf 0.000 0.000 0.000
Be1 Be 0.250 0.250 0.750
Ag1 Ag 0.000 0.000 0.500
Ag2 Ag 0.250 0.250 0.250
# Crystal system: cubic
# Total DFT energy (no corrections) in eV/atom: -4.67